CoTeIr2: optimized geometry, PBE.

Geometry as CIF:
```
data_CoTeIr2
_symmetry_space_group_name_H-M 'P m m 2'
_symmetry_Int_Tables_number 25
_cell_length_a 2.9304
_cell_length_b 3.7276
_cell_length_c 5.7668
_cell_angle_alpha 90.00
_cell_angle_beta 90.00
_cell_angle_gamma 90.00
loop_
_symmetry_equiv_pos_as_xyz
'x,y,z'
'-x,-y,z'
'-x,y,z'
'x,-y,z'
loop_
_atom_site_label
_atom_site_fract_x
_atom_site_fract_y
_atom_site_fract_z
Co1 0.0000 0.0000 0.0000
Te1 0.5000 0.5000 0.7303
Ir1 0.0000 0.0000 0.4487
Ir2 0.5000 0.5000 0.1980
```

* polymorph energy (0 for the lowest one): 0.283 eV per formula unit
* ρ: 15.051 g/cm3